Crystalline Ac3La4Te8 at its relaxed geometry, computed with GGA-PBE.

N(E_F) = 9.1 states/eV/cell
E_form (uncorrected) = -1.562 eV/atom
Final energy = -0.197 hartree per atom
Total magnetic moment = 0.00 μB per cell

The structure in POSCAR format:
```
Ac3La4Te8
1.0
-0.812 4.638 7.970
0.613 -9.275 0.078
7.913 0.478 -4.854
Te Ac La
8 3 4
Direct
0.500 0.753 0.247 Te
0.500 0.247 0.753 Te
0.502 0.248 0.248 Te
0.000 0.749 0.251 Te
0.994 0.248 0.248 Te
0.498 0.752 0.752 Te
0.000 0.251 0.749 Te
0.006 0.752 0.752 Te
0.500 0.500 0.500 Ac
0.500 0.500 0.000 Ac
0.500 0.000 0.500 Ac
0.000 0.000 0.500 La
0.500 0.000 0.000 La
0.000 0.000 0.000 La
0.000 0.500 0.000 La
```



Crystalline Ac3LaTe6 at its relaxed geometry, computed with GGA-PBE.

E_form (uncorrected) = -1.549 eV/atom
Final energy = -0.190 hartree per atom
Total magnetic moment = 0.00 μB per cell

The structure in POSCAR format:
```
Ac3LaTe6
1.0
-0.736 -0.225 -4.646
0.672 -13.176 0.532
-12.996 3.720 1.879
Te Ac La
12 6 2
Direct
0.250 0.516 0.383 Te
0.750 0.758 0.285 Te
0.750 0.818 0.751 Te
0.250 0.598 0.933 Te
0.250 0.893 0.537 Te
0.750 0.484 0.617 Te
0.750 0.402 0.067 Te
0.250 0.242 0.715 Te
0.750 0.916 0.106 Te
0.750 0.107 0.463 Te
0.250 0.182 0.249 Te
0.250 0.084 0.894 Te
0.750 0.158 0.079 Ac
0.250 0.842 0.921 Ac
0.250 0.577 0.170 Ac
0.750 0.423 0.830 Ac
0.750 0.684 0.505 Ac
0.250 0.316 0.495 Ac
0.750 0.042 0.688 La
0.250 0.958 0.312 La
```



Crystalline AcLa2Te at its relaxed geometry, computed with GGA-PBE.

N(E_F) = 5.1 states/eV/cell
E_form (uncorrected) = -0.573 eV/atom
Final energy = -0.178 hartree per atom
Total magnetic moment = 0.00 μB per cell

The structure in POSCAR format:
```
AcLa2Te
1.0
-3.379 3.356 -1.485
0.557 -1.589 -4.860
-3.742 -3.458 0.702
Te La Ac
1 2 1
Direct
0.500 0.500 0.500 Te
0.000 0.500 0.000 La
0.000 0.000 0.500 La
0.500 0.000 0.000 Ac
```